Crystalline La6PrHo5 at its relaxed geometry, computed with PBE.

Lattice parameters (Å, degrees): 9.672 6.238 10.697 56.69 69.28 49.90
Fractional positions:
Ho1 0.500 0.164 0.667
Pr1 0.000 0.000 0.000
La1 0.749 0.417 0.665
Ho2 0.500 0.500 0.000
La2 0.252 0.248 0.000
Ho3 0.500 0.836 0.333
La3 0.749 0.085 0.336
La4 0.251 0.915 0.664
La5 0.251 0.583 0.335
La6 0.748 0.752 0.000
Ho4 0.000 0.667 0.666
Ho5 0.000 0.333 0.334

- magnetic moment (μB/atom) = 0.000
- relative energy among the computed polymorphs (meV/atom) = 0
- DOS at the Fermi energy (states/eV/atom) = 1.446
- SG = P-1, No. 2
- energy of formation from the pure elements (kJ/mol of formula units) = 23